Material: CrHBr2
Method: DFT, PBE-GGA
State: optimized geometry

As for the magnetic moment: 0.0 μB per formula unit. The value obtained for the density of states at the Fermi level is 3.10 states/eV/f.u. The total energy is -3.282 eV/atom.

a b c (Å): 4.3816 4.3816 4.3816
angles (deg): 60.00 60.00 60.00
Fractional positions:
1 Cr 0.0000 0.0000 0.0000
2 H 0.5000 0.5000 0.5000
3 Br 0.2500 0.2500 0.2500
4 Br 0.7500 0.7500 0.7500